Entry 1:
Material: ZrTaFeRh
Method: DFT, PBE-GGA
State: relaxed

Computed properties:
Formation enthalpy at 0 K (eV per atom): -0.30
Final energy (eV/atom): -9.35

abc: 4.5198 4.5198 4.5198
angles: 60.00 60.00 60.00
Last column: magnetic moment on the atom in μB.
Element x y z (fractional)
Ta  0.0000  0.0000  0.0000  -0.17
Zr  0.5000  0.5000  0.5000  -0.13
Fe  0.2500  0.2500  0.2500  1.51
Rh  0.7500  0.7500  0.7500  0.18


Entry 2:
Material: BaMoAu2
Method: DFT, PBE-GGA
State: relaxed

Computed properties:
Formation enthalpy at 0 K (eV per atom): 0.50
Polymorph energy (0 for the lowest one) (eV per formula unit): 1.73
Final energy (eV/atom): -4.33

abc: 5.8697 5.8697 5.8697
angles: 135.41 135.41 64.90
Last column: magnetic moment on the atom in μB.
Element x y z (fractional)
Au  0.0000  0.0000  0.0000  0.04
Mo  0.7500  0.2500  0.5000  3.10
Ba  0.5000  0.5000  0.0000  0.10
Au  0.2500  0.7500  0.5000  0.04


Entry 3:
Material: Pm3ErSb4
Method: DFT, PBE-GGA
State: relaxed

Computed properties:
Formation energy from raw total energies (eV per atom): -1.160
Final energy (eV/atom): -5.57

abc: 6.3028 6.3028 6.3028
angles: 90.00 90.00 90.00
Element x y z (fractional)
Pm  0.5000  0.5000  0.0000
Sb  0.5000  0.0000  0.0000
Er  0.0000  0.0000  0.0000
Pm  0.5000  0.0000  0.5000
Pm  0.0000  0.5000  0.5000
Sb  0.5000  0.5000  0.5000
Sb  0.0000  0.5000  0.0000
Sb  0.0000  0.0000  0.5000


Question: Among the records above, which one has the highest final energy?
Answer: BaMoAu2


Repeat the first record exactly.
Material: ZrTaFeRh
Method: DFT, PBE-GGA
State: relaxed

Computed properties:
Formation enthalpy at 0 K (eV per atom): -0.30
Final energy (eV/atom): -9.35

abc: 4.5198 4.5198 4.5198
angles: 60.00 60.00 60.00
Last column: magnetic moment on the atom in μB.
Element x y z (fractional)
Ta  0.0000  0.0000  0.0000  -0.17
Zr  0.5000  0.5000  0.5000  -0.13
Fe  0.2500  0.2500  0.2500  1.51
Rh  0.7500  0.7500  0.7500  0.18